# 1
## CdFeOs2 (PBEsol)

Data for an optimized crystal structure of CdFeOs2.

Summary:
energy above the lowest structure with this stoichiometry = 215.2 meV per atom
ΔH_f (0 K) = 2.49 eV per formula unit

a = 3.898 Å, b = 3.898 Å, c = 7.545 Å
α = 90.00°, β = 90.00°, γ = 90.00°
Space group I-4m2 (No. 119)
Asymmetric unit:
Cd 0.000 0.000 0.000 (multiplicity 2)
Fe 0.000 0.500 0.250 (multiplicity 2)
Os 0.000 0.000 0.500 (multiplicity 2)
Os 0.000 0.500 0.750 (multiplicity 2)



# 2
## CdFeP2 (PBEsol)

Data for an optimized crystal structure of CdFeP2.

Summary:
ΔH_f (0 K) = -0.15 eV per formula unit

a = 2.777 Å, b = 2.777 Å, c = 7.962 Å
α = 90.00°, β = 90.00°, γ = 90.00°
Space group P4/mmm (No. 123)
Asymmetric unit:
Cd 0.000 0.000 0.000 (multiplicity 1)
Fe 0.000 0.000 0.500 (multiplicity 1)
P 0.500 0.500 0.334 (multiplicity 2)



# 3
## CdFeP2 (PBEsol)

Data for an optimized crystal structure of CdFeP2.

Summary:
ΔH_f (0 K) = 1.33 eV per formula unit

a = 3.551 Å, b = 4.860 Å, c = 7.222 Å
α = 90.00°, β = 90.00°, γ = 90.00°
Space group Immm (No. 71)
Asymmetric unit:
Cd 0.000 0.000 0.000 (multiplicity 2)
Fe 0.000 0.000 0.500 (multiplicity 2)
P 0.000 0.500 0.186 (multiplicity 4)



# 4
## CdFe3P (PBEsol)

Data for an optimized crystal structure of CdFe3P.

Summary:
ΔH_f (0 K) = 0.99 eV per formula unit

a = 4.133 Å, b = 4.133 Å, c = 4.133 Å
α = 90.00°, β = 90.00°, γ = 90.00°
Space group Pm-3m (No. 221)
Asymmetric unit:
Cd 0.000 0.000 0.000 (multiplicity 1)
Fe 0.000 0.500 0.500 (multiplicity 3)
P 0.500 0.500 0.500 (multiplicity 1)